# 1
VASP calculation (PBE) on an optimized crystal structure of CeMnSi2Pd.

Lattice parameters (Å, degrees): 4.092 4.092 9.942 90.00 90.00 90.00
Fractional coordinates of all 10 atoms:
Ce1 0.000 0.000 0.000
Ce2 0.500 0.500 0.500
Mn1 0.000 0.500 0.250
Mn2 0.500 0.000 0.750
Si1 0.000 0.000 0.375
Si2 0.000 0.000 0.625
Si3 0.500 0.500 0.125
Si4 0.500 0.500 0.875
Pd1 0.000 0.500 0.750
Pd2 0.500 0.000 0.250

Output
DOS(E_F) = 10.3 states/eV/cell
energy relative to the elements, uncorrected = -0.68 eV per atom
symmetry = I-4m2 (119)

# 2
VASP calculation (PBE) on an optimized crystal structure of NdSm2Tl2Ag2.

Lattice parameters (Å, degrees): 9.539 9.539 9.539 30.08 30.08 30.08
Fractional coordinates of all 7 atoms:
Nd1 0.000 0.000 0.000
Sm1 0.125 0.125 0.125
Sm2 0.875 0.875 0.875
Tl1 0.260 0.260 0.260
Tl2 0.740 0.740 0.740
Ag1 0.399 0.399 0.399
Ag2 0.601 0.601 0.601

Output
calculated formation energy = -1.40 eV/f.u.
DOS(E_F) = 5.1 states/eV/cell
symmetry = R-3m (166)

Among the records above, which one has the lowest DOS(E_F)? NdSm2Tl2Ag2